Pm2Nd3Sn4: optimized geometry, GGA-PBE.

```
data_Pm2Nd3Sn4
_cell_length_a 13.354
_cell_length_b 4.874
_cell_length_c 10.306
_cell_angle_alpha 90.00
_cell_angle_beta 123.68
_cell_angle_gamma 90.00
_space_group_name_H-M_alt 'C 1 2/m 1'
_space_group_IT_number 12
loop_
_space_group_symop_operation_xyz
'x,y,z'
'-x,-y,-z'
'-x,y,-z'
'x,-y,z'
'x+1/2,y+1/2,z'
'-x+1/2,-y+1/2,-z'
'-x+1/2,y+1/2,-z'
'x+1/2,-y+1/2,z'
loop_
_atom_site_label
_atom_site_type_symbol
_atom_site_fract_x
_atom_site_fract_y
_atom_site_fract_z
Pm1 Pm 0.145 0.000 0.315
Nd1 Nd 0.000 0.500 0.000
Nd2 Nd 0.145 0.000 0.696
Sn1 Sn 0.065 0.500 0.418
Sn2 Sn 0.180 0.000 0.031
```

Properties
total moment: 0.00 μB per cell
density: 7.1 g/cm3
excess energy over the best structure of this formula in the dataset: 148.0 meV/atom
calculated total energy: -5.026 eV per atom
D(E_F): 0.78 states/eV per atom

***

Nb2RuAu: optimized geometry, GGA-PBE.

```
data_Nb2RuAu
_cell_length_a 2.918
_cell_length_b 2.918
_cell_length_c 7.982
_cell_angle_alpha 90.00
_cell_angle_beta 90.00
_cell_angle_gamma 90.00
_space_group_name_H-M_alt 'P 4/m m m'
_space_group_IT_number 123
_space_group_name_Hall '-P 4 2'
loop_
_atom_site_label
_atom_site_type_symbol
_atom_site_fract_x
_atom_site_fract_y
_atom_site_fract_z
Nb1 Nb 0.000 0.000 0.227
Ru1 Ru 0.500 0.500 0.000
Au1 Au 0.500 0.500 0.500
```

Properties
total moment: 0.00 μB per cell
density: 11.8 g/cm3
calculated total energy: -8.328 eV per atom
D(E_F): 0.85 states/eV per atom

***

Pa4TcGe2: optimized geometry, GGA-PBE.

```
data_Pa4TcGe2
_cell_length_a 5.731
_cell_length_b 6.204
_cell_length_c 9.237
_cell_angle_alpha 90.00
_cell_angle_beta 105.90
_cell_angle_gamma 90.00
_space_group_name_H-M_alt 'P 1 21/m 1'
_space_group_IT_number 11
loop_
_space_group_symop_operation_xyz
'x,y,z'
'-x,-y,-z'
'-x,y+1/2,-z'
'x,-y+1/2,z'
loop_
_atom_site_label
_atom_site_type_symbol
_atom_site_fract_x
_atom_site_fract_y
_atom_site_fract_z
Pa1 Pa 0.169 0.250 0.103
Pa2 Pa 0.281 0.013 0.728
Pa3 Pa 0.300 0.750 0.460
Tc1 Tc 0.111 0.750 0.181
Ge1 Ge 0.164 0.250 0.431
Ge2 Ge 0.388 0.750 0.011
```

Properties
total moment: 0.00 μB per cell
density: 12.3 g/cm3
calculated total energy: -8.505 eV per atom
D(E_F): 1.62 states/eV per atom

***

CoSbRu2: optimized geometry, GGA-PBE.

```
data_CoSbRu2
_cell_length_a 5.477
_cell_length_b 5.477
_cell_length_c 11.231
_cell_angle_alpha 90.00
_cell_angle_beta 90.00
_cell_angle_gamma 90.00
_space_group_name_H-M_alt 'I -4 2 d'
_space_group_IT_number 122
_space_group_name_Hall 'I -4 2bw'
loop_
_atom_site_label
_atom_site_type_symbol
_atom_site_fract_x
_atom_site_fract_y
_atom_site_fract_z
Co1 Co 0.000 0.000 0.000
Sb1 Sb 0.000 0.000 0.500
Ru1 Ru 0.194 0.250 0.125
```

Properties
total moment: 0.00 μB per cell
density: 7.5 g/cm3
formation energy from raw total energies: 887 meV per atom
calculated total energy: -6.558 eV per atom
D(E_F): 0.98 states/eV per atom

***

SiW2: optimized geometry, GGA-PBE.

```
data_SiW2
_cell_length_a 3.275
_cell_length_b 12.584
_cell_length_c 4.354
_cell_angle_alpha 90.00
_cell_angle_beta 90.00
_cell_angle_gamma 90.00
_space_group_name_H-M_alt 'C m c m'
_space_group_IT_number 63
_space_group_name_Hall '-C 2c 2'
loop_
_atom_site_label
_atom_site_type_symbol
_atom_site_fract_x
_atom_site_fract_y
_atom_site_fract_z
Si1 Si 0.000 0.092 0.250
W1 W 0.000 0.242 0.750
W2 W 0.000 0.431 0.250
```

Properties
total moment: 0.00 μB per cell
density: 14.6 g/cm3
formation energy from raw total energies: 66 meV per atom
excess energy over the best structure of this formula in the dataset: 216.8 meV/atom
calculated total energy: -10.377 eV per atom
D(E_F): 0.81 states/eV per atom

***

BaSn4Au6: optimized geometry, GGA-PBE.

```
data_BaSn4Au6
_cell_length_a 7.331
_cell_length_b 7.331
_cell_length_c 10.481
_cell_angle_alpha 90.00
_cell_angle_beta 90.00
_cell_angle_gamma 90.00
_space_group_name_H-M_alt 'I -4 2 m'
_space_group_IT_number 121
_space_group_name_Hall 'I -4 2'
loop_
_atom_site_label
_atom_site_type_symbol
_atom_site_fract_x
_atom_site_fract_y
_atom_site_fract_z
Ba1 Ba 0.000 0.000 0.000
Sn1 Sn 0.188 0.188 0.647
Au1 Au 0.000 0.500 0.000
Au2 Au 0.192 0.192 0.376
```

Properties
total moment: 0.00 μB per cell
density: 10.6 g/cm3
excess energy over the best structure of this formula in the dataset: 52.4 meV/atom
calculated total energy: -3.679 eV per atom
D(E_F): 0.29 states/eV per atom

***

RbTiNiAs2: optimized geometry, GGA-PBE.

```
data_RbTiNiAs2
_cell_length_a 5.443
_cell_length_b 5.443
_cell_length_c 4.447
_cell_angle_alpha 90.00
_cell_angle_beta 90.00
_cell_angle_gamma 90.00
_space_group_name_H-M_alt 'P 4/m m m'
_space_group_IT_number 123
_space_group_name_Hall '-P 4 2'
loop_
_atom_site_label
_atom_site_type_symbol
_atom_site_fract_x
_atom_site_fract_y
_atom_site_fract_z
Rb1 Rb 0.000 0.000 0.000
Ti1 Ti 0.500 0.500 0.500
Ni1 Ni 0.000 0.000 0.500
As1 As 0.000 0.500 0.000
```

Properties
total moment: 0.03 μB per cell
density: 4.3 g/cm3
calculated total energy: -2.875 eV per atom
D(E_F): 1.45 states/eV per atom

***

SrTlSi2Au5: optimized geometry, GGA-PBE.

```
data_SrTlSi2Au5
_cell_length_a 4.635
_cell_length_b 4.635
_cell_length_c 10.362
_cell_angle_alpha 90.00
_cell_angle_beta 90.00
_cell_angle_gamma 90.00
_space_group_name_H-M_alt 'P 4/m m m'
_space_group_IT_number 123
_space_group_name_Hall '-P 4 2'
loop_
_atom_site_label
_atom_site_type_symbol
_atom_site_fract_x
_atom_site_fract_y
_atom_site_fract_z
Sr1 Sr 0.000 0.000 0.000
Tl1 Tl 0.000 0.000 0.500
Si1 Si 0.500 0.500 0.231
Au1 Au 0.000 0.500 0.301
Au2 Au 0.500 0.500 0.000
```

Properties
total moment: 0.00 μB per cell
density: 9.9 g/cm3
formation energy from raw total energies: -250 meV per atom
calculated total energy: -3.726 eV per atom
D(E_F): 0.25 states/eV per atom